Model w:
Computed, not measured: a relaxed RbTe3I crystal at the PBE level of DFT.

Calculated values
**Spin magnetization**: 0.000 μB per formula unit

a = 6.0105 Å, b = 6.0105 Å, c = 6.0105 Å
α = 90.00°, β = 90.00°, γ = 90.00°
Fractional positions:
1 I 0.0000 0.0000 0.0000
2 Te 0.0000 0.5000 0.0000
3 Te 0.0000 0.0000 0.5000
4 Te 0.5000 0.0000 0.0000
5 Rb 0.5000 0.5000 0.5000



Model x:
Computed, not measured: a relaxed RbTe3I crystal at the PBE level of DFT.

Calculated values
**Spin magnetization**: 6.000 μB per formula unit

a = 6.9852 Å, b = 6.9852 Å, c = 6.9852 Å
α = 90.00°, β = 90.00°, γ = 90.00°
Fractional positions:
1 I 0.5000 0.5000 0.5000
2 Te 0.0000 0.5000 0.0000
3 Te 0.0000 0.0000 0.5000
4 Te 0.5000 0.0000 0.0000
5 Rb 0.0000 0.0000 0.0000



Most stable = model w